(1)
Compound: Pa5Sn
Source: Alexandria via LeMat-Bulk
Functional: PBE-GGA
Structure: optimized geometry

Properties
- Volume: 298 Å³ per cell
- Crystal system: orthorhombic
- DFT formation energy: -2.3 kcal/mol of atoms
- Total magnetization: 0.00 Bohr magnetons per cell
- Relative energy among the computed polymorphs: 0.0167 eV/atom

a b c (Å): 4.6371 14.2371 4.5158
angles (deg): 90.00 90.00 90.00
Space group Cmmm (No. 65)
Asymmetric unit:
Pa1 0.0000 0.0000 0.0000 [2 per cell]
Pa2 0.0000 0.1642 0.5000 [4 per cell]
Pa3 0.0000 0.3353 0.0000 [4 per cell]
Sn1 0.0000 0.5000 0.5000 [2 per cell]

---

(2)
Compound: TlBi3S6
Source: Alexandria via LeMat-Bulk
Functional: PBE-GGA
Structure: optimized geometry

Properties
- Volume: 558 Å³ per cell
- Crystal system: monoclinic
- Total magnetization: 0.00 Bohr magnetons per cell
- Raw formation energy: -0.25 eV/atom

a b c (Å): 9.6090 4.0383 14.3692
angles (deg): 90.00 90.42 90.00
Space group P2_1/m (No. 11)
Asymmetric unit:
Tl1 0.1559 0.2500 0.4547 [2 per cell]
Bi1 0.0800 0.7500 0.7798 [2 per cell]
Bi2 0.3593 0.2500 0.9347 [2 per cell]
Bi3 0.4933 0.7500 0.3656 [2 per cell]
S1 0.0231 0.2500 0.6101 [2 per cell]
S2 0.0557 0.2500 0.8999 [2 per cell]
S3 0.3100 0.2500 0.3102 [2 per cell]
S4 0.3512 0.7500 0.5255 [2 per cell]
S5 0.3512 0.7500 0.7803 [2 per cell]
S6 0.3537 0.7500 0.0638 [2 per cell]

---

(3)
Compound: DyVZn
Source: Alexandria via LeMat-Bulk
Functional: PBE-GGA
Structure: optimized geometry

Properties
- Volume: 238 Å³ per cell
- Crystal system: monoclinic
- DFT formation energy: 3.0 kcal/mol of atoms
- Total magnetization: 0.00 Bohr magnetons per cell

a b c (Å): 9.8401 4.0279 6.0890
angles (deg): 90.00 99.12 90.00
Space group C2/m (No. 12)
Asymmetric unit:
Dy1 0.0328 0.0000 0.2485 [4 per cell]
V1 0.2221 0.5000 0.0440 [4 per cell]
Zn1 0.1697 0.5000 0.5909 [4 per cell]

---

Please write out number 3 again, unchanged.
Compound: DyVZn
Source: Alexandria via LeMat-Bulk
Functional: PBE-GGA
Structure: optimized geometry

Properties
- Volume: 238 Å³ per cell
- Crystal system: monoclinic
- DFT formation energy: 3.0 kcal/mol of atoms
- Total magnetization: 0.00 Bohr magnetons per cell

a b c (Å): 9.8401 4.0279 6.0890
angles (deg): 90.00 99.12 90.00
Space group C2/m (No. 12)
Asymmetric unit:
Dy1 0.0328 0.0000 0.2485 [4 per cell]
V1 0.2221 0.5000 0.0440 [4 per cell]
Zn1 0.1697 0.5000 0.5909 [4 per cell]

---

Q: Which value of volume does entry 3 give?
A: 238 Å³ per cell

---

Q: What is the formula in the second record?
A: TlBi3S6